The following is a GGA-PBE calculation of a geometry-optimized ErAl6Tc structure, from the Alexandria database.

Unit cell a=5.7907 b=5.7907 c=6.9248 alpha=65.28 beta=65.28 gamma=60.00
With the nearest neighbours (Å) after each atom.
Element x y z (fractional)
Al 0.9178 0.4415 0.7229  1 Tc 2.43, 1 Al 2.71
Al 0.5585 0.0822 0.2771  1 Tc 2.43, 1 Al 2.71
Al 0.0822 0.0822 0.2771  1 Tc 2.43, 1 Al 2.71
Al 0.4415 0.9178 0.7229  1 Tc 2.43, 1 Al 2.71
Al 0.9178 0.9178 0.7229  1 Tc 2.43, 1 Al 2.71
Al 0.0822 0.5585 0.2771  1 Tc 2.43, 1 Al 2.71
Er 0.5000 0.5000 0.5000  12 Al 3.20
Tc 0.0000 0.0000 0.0000  6 Al 2.43

Summary:
* SG: No. 166
* E: -4.541 eV/atom

The following is a GGA-PBE calculation of a geometry-optimized ErAl2Tc structure, from the Alexandria database.

Unit cell a=3.0727 b=3.0727 c=9.3541 alpha=80.55 beta=80.55 gamma=60.00
With the nearest neighbours (Å) after each atom.
Element x y z (fractional)
Tc 0.0000 0.0000 0.0000  6 Al 2.61
Al 0.2638 0.2638 0.2086  3 Tc 2.61
Al 0.7362 0.7362 0.7914  3 Tc 2.61
Er 0.5000 0.5000 0.5000  6 Er 3.07, 6 Al 3.21

Summary:
* SG: No. 166
* E: -5.631 eV/atom
* offset from the most stable computed form: 29.9 kJ per mole of atoms

The following is a GGA-PBE calculation of a geometry-optimized Er8Al2Tc structure, from the Alexandria database.

Unit cell a=5.2671 b=6.8791 c=8.9187 alpha=110.71 beta=107.17 gamma=90.00
With the nearest neighbours (Å) after each atom.
Element x y z (fractional)
Al 0.8178 0.3123 0.6357  9 Er 3.03-3.30
Al 0.1822 0.6877 0.3643  9 Er 3.03-3.30
Tc 0.5000 0.0000 0.0000  4 Er 2.75-2.77
Er 0.3971 0.5842 0.7941  1 Tc 2.75
Er 0.6029 0.4158 0.2059  1 Tc 2.75
Er 0.8046 0.7398 0.6092  3 Al 3.03-3.30, 4 Er 3.33-3.38
Er 0.0141 0.7763 0.0281  2 Tc 3.10, 1 Al 3.14, 5 Er 3.27-3.40
Er 0.6495 0.9279 0.2989  1 Tc 2.77, 1 Al 3.10
Er 0.1954 0.2602 0.3908  3 Al 3.03-3.30, 4 Er 3.33-3.38
Er 0.9859 0.2237 0.9719  2 Tc 3.10, 1 Al 3.14, 5 Er 3.27-3.40
Er 0.3505 0.0721 0.7011  1 Tc 2.77, 1 Al 3.10

Summary:
* SG: No. 12
* E: -5.114 eV/atom

The following is a GGA-PBE calculation of a geometry-optimized Er2AlTc3 structure, from the Alexandria database.

Unit cell a=5.3279 b=5.3279 c=5.4304 alpha=89.98 beta=119.41 gamma=119.99
With the nearest neighbours (Å) after each atom.
Element x y z (fractional)
Tc 0.5000 0.0000 0.5000  4 Tc 2.66, 2 Al 2.71
Tc 0.5000 0.5000 0.5000  4 Tc 2.66, 2 Al 2.72
Tc 0.0000 0.0000 0.5000  4 Tc 2.66, 2 Al 2.72
Er 0.7573 0.3785 0.1358  9 Tc 3.12-3.23, 3 Al 3.13-3.14, 4 Er 3.26-3.31
Er 0.2427 0.6215 0.8642  9 Tc 3.12-3.23, 3 Al 3.13-3.14, 4 Er 3.26-3.31
Al 0.0000 0.0000 0.0000  6 Tc 2.71-2.72

Summary:
* SG: No. 166
* E: -7.689 eV/atom

Q: Which of these has the lowest E?
A: Er2AlTc3